# 1
Crystalline LaTlTe2 at its relaxed geometry. Source: Alexandria via LeMat-Bulk, functional PBE.

Results
formation energy without anion corrections: -0.548 eV per atom

Geometry as CIF:
```
data_LaTlTe2
_cell_length_a 7.938
_cell_length_b 7.938
_cell_length_c 7.938
_cell_angle_alpha 90.00
_cell_angle_beta 90.00
_cell_angle_gamma 90.00
_space_group_name_H-M_alt 'F -4 3 m'
_space_group_IT_number 216
_space_group_name_Hall 'F -4 2 3'
loop_
_atom_site_label
_atom_site_type_symbol
_atom_site_fract_x
_atom_site_fract_y
_atom_site_fract_z
La1 La 0.000 0.000 0.000
Tl1 Tl 0.250 0.250 0.250
Te1 Te 0.000 0.000 0.500
Te2 Te 0.250 0.250 0.750
```

=====

# 2
Crystalline LaTl4Te at its relaxed geometry. Source: Alexandria via LeMat-Bulk, functional PBE.

Results
formation energy without anion corrections: -0.121 eV per atom

Geometry as CIF:
```
data_LaTl4Te
_cell_length_a 9.044
_cell_length_b 9.044
_cell_length_c 9.044
_cell_angle_alpha 90.00
_cell_angle_beta 90.00
_cell_angle_gamma 90.00
_space_group_name_H-M_alt 'F -4 3 m'
_space_group_IT_number 216
_space_group_name_Hall 'F -4 2 3'
loop_
_atom_site_label
_atom_site_type_symbol
_atom_site_fract_x
_atom_site_fract_y
_atom_site_fract_z
La1 La 0.000 0.000 0.000
Tl1 Tl 0.125 0.125 0.375
Te1 Te 0.250 0.250 0.750
```

=====

# 3
Crystalline LaTlTe4 at its relaxed geometry. Source: Alexandria via LeMat-Bulk, functional PBE.

Results
excess energy over the best structure of this formula in the dataset: 592 meV per atom
formation energy without anion corrections: -0.183 eV per atom

Geometry as CIF:
```
data_LaTlTe4
_cell_length_a 9.155
_cell_length_b 9.155
_cell_length_c 9.155
_cell_angle_alpha 90.00
_cell_angle_beta 90.00
_cell_angle_gamma 90.00
_space_group_name_H-M_alt 'F -4 3 m'
_space_group_IT_number 216
_space_group_name_Hall 'F -4 2 3'
loop_
_atom_site_label
_atom_site_type_symbol
_atom_site_fract_x
_atom_site_fract_y
_atom_site_fract_z
La1 La 0.000 0.000 0.000
Tl1 Tl 0.250 0.250 0.250
Te1 Te 0.125 0.125 0.625
```

=====

# 4
Crystalline LaTlTe3 at its relaxed geometry. Source: Alexandria via LeMat-Bulk, functional PBE.

Results
excess energy over the best structure of this formula in the dataset: 0 meV per atom
formation energy without anion corrections: -0.453 eV per atom

Geometry as CIF:
```
data_LaTlTe3
_cell_length_a 6.177
_cell_length_b 6.177
_cell_length_c 6.177
_cell_angle_alpha 90.00
_cell_angle_beta 90.00
_cell_angle_gamma 90.00
_space_group_name_H-M_alt 'P m -3 m'
_space_group_IT_number 221
_space_group_name_Hall '-P 4 2 3'
loop_
_atom_site_label
_atom_site_type_symbol
_atom_site_fract_x
_atom_site_fract_y
_atom_site_fract_z
La1 La 0.000 0.000 0.000
Tl1 Tl 0.500 0.500 0.500
Te1 Te 0.000 0.000 0.500
```

=====

# 5
Crystalline LaTl2Te at its relaxed geometry. Source: Alexandria via LeMat-Bulk, functional PBE.

Results
excess energy over the best structure of this formula in the dataset: 6 meV per atom
formation energy without anion corrections: -0.632 eV per atom

Geometry as CIF:
```
data_LaTl2Te
_cell_length_a 6.455
_cell_length_b 6.544
_cell_length_c 12.465
_cell_angle_alpha 90.00
_cell_angle_beta 90.00
_cell_angle_gamma 90.00
_space_group_name_H-M_alt 'F m m m'
_space_group_IT_number 69
_space_group_name_Hall '-F 2 2'
loop_
_atom_site_label
_atom_site_type_symbol
_atom_site_fract_x
_atom_site_fract_y
_atom_site_fract_z
La1 La 0.000 0.000 0.000
Tl1 Tl 0.000 0.250 0.250
Te1 Te 0.000 0.000 0.500
```

=====

# 6
Crystalline LaTl9Te6 at its relaxed geometry. Source: Alexandria via LeMat-Bulk, functional PBE.

Results
formation energy without anion corrections: -0.511 eV per atom

Geometry as CIF:
```
data_LaTl9Te6
_cell_length_a 9.029
_cell_length_b 9.029
_cell_length_c 13.547
_cell_angle_alpha 90.00
_cell_angle_beta 90.00
_cell_angle_gamma 90.00
_space_group_name_H-M_alt 'I 4/m'
_space_group_IT_number 87
_space_group_name_Hall '-I 4'
loop_
_atom_site_label
_atom_site_type_symbol
_atom_site_fract_x
_atom_site_fract_y
_atom_site_fract_z
La1 La 0.000 0.000 0.000
Tl1 Tl 0.000 0.000 0.500
Tl2 Tl 0.139 0.344 0.342
Te1 Te 0.000 0.000 0.239
Te2 Te 0.152 0.330 0.000
```

=====

# 7
Crystalline La5Tl2Te2 at its relaxed geometry. Source: Alexandria via LeMat-Bulk, functional PBE.

Results
formation energy without anion corrections: -0.895 eV per atom

Geometry as CIF:
```
data_La5Tl2Te2
_cell_length_a 16.352
_cell_length_b 8.564
_cell_length_c 8.561
_cell_angle_alpha 90.00
_cell_angle_beta 90.00
_cell_angle_gamma 90.00
_space_group_name_H-M_alt 'C m c e'
_space_group_IT_number 64
_space_group_name_Hall '-C 2ac 2'
loop_
_atom_site_label
_atom_site_type_symbol
_atom_site_fract_x
_atom_site_fract_y
_atom_site_fract_z
La1 La 0.000 0.000 0.000
La2 La 0.141 0.171 0.335
Tl1 Tl 0.000 0.129 0.625
Te1 Te 0.198 0.000 0.000
```

=====

# 8
Crystalline LaTlTe at its relaxed geometry. Source: Alexandria via LeMat-Bulk, functional PBE.

Results
excess energy over the best structure of this formula in the dataset: 250 meV per atom
formation energy without anion corrections: -0.627 eV per atom

Geometry as CIF:
```
data_LaTlTe
_cell_length_a 7.571
_cell_length_b 7.571
_cell_length_c 7.571
_cell_angle_alpha 90.00
_cell_angle_beta 90.00
_cell_angle_gamma 90.00
_space_group_name_H-M_alt 'F -4 3 m'
_space_group_IT_number 216
_space_group_name_Hall 'F -4 2 3'
loop_
_atom_site_label
_atom_site_type_symbol
_atom_site_fract_x
_atom_site_fract_y
_atom_site_fract_z
La1 La 0.000 0.000 0.000
Tl1 Tl 0.000 0.000 0.500
Te1 Te 0.250 0.250 0.250
```

=====

# 9
Crystalline La2Tl2Te at its relaxed geometry. Source: Alexandria via LeMat-Bulk, functional PBE.

Results
excess energy over the best structure of this formula in the dataset: 108 meV per atom
formation energy without anion corrections: -0.535 eV per atom

Geometry as CIF:
```
data_La2Tl2Te
_cell_length_a 8.476
_cell_length_b 8.476
_cell_length_c 4.494
_cell_angle_alpha 90.00
_cell_angle_beta 90.00
_cell_angle_gamma 90.00
_space_group_name_H-M_alt 'P 4/m b m'
_space_group_IT_number 127
_space_group_name_Hall '-P 4 2ab'
loop_
_atom_site_label
_atom_site_type_symbol
_atom_site_fract_x
_atom_site_fract_y
_atom_site_fract_z
La1 La 0.174 0.326 0.000
Tl1 Tl 0.127 0.627 0.500
Te1 Te 0.000 0.000 0.500
```

=====

# 10
Crystalline LaTlTe at its relaxed geometry. Source: Alexandria via LeMat-Bulk, functional PBE.

Results
excess energy over the best structure of this formula in the dataset: 0 meV per atom
formation energy without anion corrections: -0.876 eV per atom

Geometry as CIF:
```
data_LaTlTe
_cell_length_a 5.3988
_cell_length_b 5.3988
_cell_length_c 24.9886
_cell_angle_alpha 90.00
_cell_angle_beta 90.00
_cell_angle_gamma 120.00
_space_group_name_H-M_alt 'R -3 m'
_space_group_IT_number 166
_space_group_name_Hall '-R 3 2"'
loop_
_atom_site_label
_atom_site_type_symbol
_atom_site_fract_x
_atom_site_fract_y
_atom_site_fract_z
La1 La 0.0000 0.0000 0.0843
Tl1 Tl 0.0000 0.0000 0.3481
Te1 Te 0.0000 0.0000 0.2167
```

=====

# 11
Crystalline LaTl2Te at its relaxed geometry. Source: Alexandria via LeMat-Bulk, functional PBE.

Results
excess energy over the best structure of this formula in the dataset: 567 meV per atom
formation energy without anion corrections: -0.070 eV per atom

Geometry as CIF:
```
data_LaTl2Te
_cell_length_a 4.132
_cell_length_b 6.305
_cell_length_c 9.935
_cell_angle_alpha 90.00
_cell_angle_beta 90.00
_cell_angle_gamma 90.00
_space_group_name_H-M_alt 'C m m m'
_space_group_IT_number 65
_space_group_name_Hall '-C 2 2'
loop_
_atom_site_label
_atom_site_type_symbol
_atom_site_fract_x
_atom_site_fract_y
_atom_site_fract_z
La1 La 0.000 0.000 0.000
Tl1 Tl 0.000 0.500 0.268
Te1 Te 0.000 0.000 0.500
```

=====

# 12
Crystalline La2TlTe2 at its relaxed geometry. Source: Alexandria via LeMat-Bulk, functional PBE.

Results
excess energy over the best structure of this formula in the dataset: 7 meV per atom
formation energy without anion corrections: -1.070 eV per atom

Geometry as CIF:
```
data_La2TlTe2
_cell_length_a 8.840
_cell_length_b 8.840
_cell_length_c 4.210
_cell_angle_alpha 90.00
_cell_angle_beta 90.00
_cell_angle_gamma 90.00
_space_group_name_H-M_alt 'P 4/m b m'
_space_group_IT_number 127
_space_group_name_Hall '-P 4 2ab'
loop_
_atom_site_label
_atom_site_type_symbol
_atom_site_fract_x
_atom_site_fract_y
_atom_site_fract_z
La1 La 0.157 0.343 0.000
Tl1 Tl 0.000 0.000 0.000
Te1 Te 0.145 0.645 0.500
```